GGA-PBE Ca2Ge3Pd4Pt, relaxed; space-group type = P-4m2 (115); formation energy = -6.50 eV per formula unit; calculated total energy = -5.116 eV per atom
1.0
4.148 0.000 0.000
0.000 4.148 0.000
0.000 0.000 11.101
Ca Ge Pd Pt
2 3 4 1
direct
0.000 0.500 0.240
0.500 0.000 0.760
0.000 0.000 0.000
0.000 0.500 0.629
0.500 0.000 0.371
0.000 0.000 0.500
0.000 0.500 0.846
0.500 0.000 0.154
0.500 0.500 0.500
0.500 0.500 0.000